Entry from Alexandria: a geometry-optimized Pm4Sb2Cl structure (PBE).

Values from the calculation:
VASP energy   -4.984 eV/atom
Formation energy without anion corrections   -0.8280 eV per atom
Space-group type   I4/mmm
M_tot   0.0000 μB per atom
Crystal system   tetragonal

a b c (Å): 5.1183 5.1183 16.4184
angles (deg): 90.00 90.00 90.00
Sites, in units of the cell vectors:
Pm 0.0000 0.0000 0.1733
Pm 0.0000 0.0000 0.8267
Pm 0.0000 0.5000 0.0000
Pm 0.0000 0.5000 0.5000
Pm 0.5000 0.0000 0.0000
Pm 0.5000 0.0000 0.5000
Pm 0.5000 0.5000 0.3267
Pm 0.5000 0.5000 0.6733
Sb 0.0000 0.0000 0.3645
Sb 0.0000 0.0000 0.6355
Sb 0.5000 0.5000 0.1355
Sb 0.5000 0.5000 0.8645
Cl 0.0000 0.0000 0.0000
Cl 0.5000 0.5000 0.5000